The following is a DFT calculation (PBE) of a geometry-optimized PPt2Au2 structure.

The structure in POSCAR format:
```
PPt2Au2
1.0
6.233 0.000 0.000
0.000 6.233 0.000
0.000 0.000 4.494
P Au Pt
2 4 4
direct
0.000 0.000 0.000
0.500 0.500 0.000
0.156 0.656 0.500
0.656 0.844 0.500
0.844 0.344 0.500
0.344 0.156 0.500
0.340 0.840 0.000
0.840 0.660 0.000
0.660 0.160 0.000
0.160 0.340 0.000
```

## Properties
DFT formation energy = 0.031 eV per atom
SG = P4/mbm

The following is a DFT calculation (PBE) of a geometry-optimized KReBr2 structure.

The structure in POSCAR format:
```
KReBr2
1.0
2.333 0.000 8.798
-1.166 2.020 8.798
-1.166 -2.020 8.798
Re K Br
1 1 2
direct
0.500 0.500 0.500
0.000 0.000 0.000
0.877 0.877 0.877
0.123 0.123 0.123
```

## Properties
E above lowest polymorph = 0.851 eV per formula unit
SG = R-3m
E_form (uncorrected) = 419 meV/atom

The following is a DFT calculation (PBE) of a geometry-optimized ZrMo structure.

The structure in POSCAR format:
```
ZrMo
1.0
3.931 0.000 0.000
0.000 3.931 0.000
0.000 0.000 4.899
Mo Zr
2 2
direct
0.250 0.250 0.500
0.750 0.750 0.500
0.250 0.750 0.000
0.750 0.250 0.000
```

## Properties
E above lowest polymorph = 0.676 eV per formula unit
DFT formation energy = 0.296 eV per atom
SG = P4/mmm

The following is a DFT calculation (PBE) of a geometry-optimized Cu3HgB structure.

The structure in POSCAR format:
```
Cu3HgB
1.0
4.055 0.000 0.000
0.000 4.055 0.000
0.000 0.000 4.055
B Hg Cu
1 1 3
direct
0.000 0.000 0.000
0.500 0.500 0.500
0.000 0.500 0.000
0.000 0.000 0.500
0.500 0.000 0.000
```

## Properties
E above lowest polymorph = 0.000 eV per formula unit
DFT formation energy = 0.282 eV per atom
SG = Pm-3m

The following is a DFT calculation (PBE) of a geometry-optimized LaSmAu2 structure.

The structure in POSCAR format:
```
LaSmAu2
1.0
-3.594 -1.984 -0.829
-0.039 -4.164 -0.441
-2.506 -2.829 7.059
Au Sm La
2 1 1
direct
0.753 0.753 0.741
0.247 0.247 0.259
0.500 0.500 0.500
0.000 0.000 0.000
```

## Properties
DFT formation energy = -0.692 eV per atom
SG = R-3m

The following is a DFT calculation (PBE) of a geometry-optimized LiCe2Si3Au4 structure.

The structure in POSCAR format:
```
LiCe2Si3Au4
1.0
4.351 0.000 0.000
0.000 4.351 0.000
0.000 0.000 10.219
Li Ce Si Au
1 2 3 4
direct
0.500 0.500 0.500
0.500 0.000 0.247
0.000 0.500 0.753
0.000 0.000 0.500
0.500 0.000 0.862
0.000 0.500 0.138
0.500 0.500 0.000
0.000 0.000 0.000
0.500 0.000 0.624
0.000 0.500 0.376
```

## Properties
SG = P-4m2
E_form (uncorrected) = -602 meV/atom

The following is a DFT calculation (PBE) of a geometry-optimized La2Pm3DySe6 structure.

The structure in POSCAR format:
```
La2Pm3DySe6
1.0
-2.237 2.447 2.578
3.609 -3.751 6.691
6.763 5.790 -3.048
La Pm Dy Se
2 3 1 6
direct
0.834 0.666 0.667
0.166 0.334 0.333
0.500 0.500 0.000
0.830 0.166 0.661
0.170 0.834 0.339
0.500 0.000 0.000
0.338 0.924 0.675
0.665 0.588 0.330
0.662 0.076 0.325
0.997 0.240 0.994
0.003 0.760 0.006
0.335 0.412 0.670
```

## Properties
SG = C2/m
E_form (uncorrected) = -1873 meV/atom

The following is a DFT calculation (PBE) of a geometry-optimized Tb3Cd2In2 structure.

The structure in POSCAR format:
```
Tb3Cd2In2
1.0
-4.723 0.650 -0.410
-0.539 -3.085 1.315
-2.641 4.722 9.997
Tb Cd In
3 2 2
direct
0.846 0.000 0.309
0.000 0.000 0.000
0.154 0.000 0.691
0.716 0.500 0.569
0.284 0.500 0.431
0.577 0.500 0.846
0.423 0.500 0.154
```

## Properties
DFT formation energy = -0.381 eV per atom
SG = Cmmm

In order of appearance, spin magnetization = 0.0 0.5 0.0 0.0 0.0 1.5 0.0 0.7 Bohr magnetons per cell.
In order of appearance, electronic total energy = -0.3512 -0.2795 -0.6904 -0.2625 -0.3485 -0.3614 -0.4416 -0.2506 Ry/atom.